! Rb2MoWS SCAN PBEsol geometry; values from VASP
&SYSTEM
  ibrav = 0, nat = 5, ntyp = 4
/
ATOMIC_SPECIES
Rb 85.47 Rb.upf
Mo 95.94 Mo.upf
W 183.84 W.upf
S 32.06 S.upf
CELL_PARAMETERS angstrom
6.4240 0.0000 0.0000
0.0000 6.4240 0.0000
0.0000 0.0000 4.4915
ATOMIC_POSITIONS crystal
Rb 0.0000 0.5000 0.0000
Rb 0.5000 0.0000 0.0000
Mo 0.0000 0.0000 0.5000
W 0.5000 0.5000 0.5000
S 0.5000 0.5000 0.0000
! - magnetic moment (μB per cell) = 8.55
! - theoretical density (g/cm3) = 4.33
! - calculated total energy (eV per atom) = -29.836